(1)
Material: BaSrCo2Cl8
Method: DFT, PBE
State: relaxed

The structure in POSCAR format:
```
BaSrCo2Cl8
1.0
7.280 0.000 0.000
-3.640 6.304 0.000
0.000 0.000 9.053
Cl Co Sr Ba
8 2 1 1
direct
0.837 0.673 0.226
0.667 0.333 0.553
0.163 0.327 0.774
0.837 0.163 0.226
0.673 0.837 0.774
0.333 0.667 0.447
0.327 0.163 0.226
0.163 0.837 0.774
0.667 0.333 0.310
0.333 0.667 0.690
0.000 0.000 0.000
0.000 0.000 0.500
```

Values from the calculation:
Magnetic moment in μB per atom: 0.5000
Formation energy without anion corrections in eV/atom: -1.46
Space group: P-3m1
DFT total energy in Ry/atom: -0.307

(2)
Material: BaSr2CoCl8
Method: DFT, PBE
State: relaxed

The structure in POSCAR format:
```
BaSr2CoCl8
1.0
-3.576 -3.972 -3.882
3.951 1.166 -4.979
4.991 -6.807 2.366
Cl Sr Co Ba
8 2 1 1
direct
0.633 0.724 0.500
0.157 0.789 0.204
0.367 0.276 0.500
0.843 0.211 0.796
0.302 0.246 0.000
0.698 0.754 0.000
0.843 0.211 0.204
0.157 0.789 0.796
0.500 0.500 0.231
0.500 0.500 0.769
0.000 0.000 0.000
0.000 0.000 0.500
```

Values from the calculation:
Magnetic moment in μB per atom: 0.2500
Formation energy without anion corrections in eV/atom: -1.93
Space group: P2/m
DFT total energy in Ry/atom: -0.308

(3)
Material: BaZnCo2Cl8
Method: DFT, PBE
State: relaxed

The structure in POSCAR format:
```
BaZnCo2Cl8
1.0
-2.036 -1.277 5.727
-5.147 -3.451 -0.425
4.516 -7.872 0.498
Cl Ba Zn Co
8 1 1 2
direct
0.697 0.697 0.444
0.233 0.233 0.989
0.761 0.249 0.790
0.767 0.767 0.011
0.249 0.761 0.790
0.303 0.303 0.556
0.751 0.239 0.210
0.239 0.751 0.210
0.000 0.000 0.500
0.000 0.000 0.000
0.374 0.374 0.784
0.626 0.626 0.216
```

Values from the calculation:
Magnetic moment in μB per atom: 0.5000
Formation energy without anion corrections in eV/atom: -1.13
Space group: C2/m
DFT total energy in Ry/atom: -0.280

(4)
Material: Ba2ZrCoCl
Method: DFT, PBE
State: relaxed

The structure in POSCAR format:
```
Ba2ZrCoCl
1.0
-5.641 -0.852 2.777
1.193 -4.294 1.108
2.392 2.082 5.496
Ba Cl Co Zr
2 1 1 1
direct
0.500 0.000 0.000
0.000 0.000 0.500
0.500 0.500 0.500
0.000 0.000 0.000
0.000 0.500 0.000
```

Values from the calculation:
Magnetic moment in μB per atom: 0.0006
Formation energy without anion corrections in eV/atom: -0.15
Space group: P4/mmm
DFT total energy in Ry/atom: -0.324

> Which of these has the highest formation energy without anion corrections?

Ba2ZrCoCl